A relaxed structure of Ba2TeAu. Source: Alexandria, functional GGA-PBEsol.

abc: 4.742 4.742 6.877
angles: 110.17 110.17 90.00
Fractional coordinates of all 4 atoms:
Te (0.500, 0.500, 0.000)
Ba (0.000, 0.000, 0.000)
Au (0.250, 0.750, 0.500)
Ba (0.750, 0.250, 0.500)

Spin magnetization (μB per formula unit): 0.00
Crystal system: tetragonal
Total DFT energy (no corrections) (eV per atom): -3.8625


A relaxed structure of BaTeAu2. Source: Alexandria, functional GGA-PBEsol.

abc: 4.521 4.594 5.827
angles: 90.00 89.70 90.00
Fractional coordinates of all 4 atoms:
Ba (0.500, 0.000, 0.477)
Te (0.998, 0.500, 0.740)
Au (0.001, 0.500, 0.265)
Au (0.001, 0.000, 0.018)

Spin magnetization (μB per formula unit): 0.00
Crystal system: monoclinic
Total DFT energy (no corrections) (eV per atom): -3.9894


A relaxed structure of BaTe2Au2. Source: Alexandria, functional GGA-PBEsol.

abc: 5.112 5.112 6.336
angles: 113.79 113.79 90.00
Fractional coordinates of all 5 atoms:
Ba (0.000, 0.000, 0.000)
Te (0.250, 0.750, 0.500)
Te (0.750, 0.250, 0.500)
Au (0.629, 0.629, 0.258)
Au (0.371, 0.371, 0.742)

Spin magnetization (μB per formula unit): 0.00
Crystal system: tetragonal
Total DFT energy (no corrections) (eV per atom): -3.9899


A relaxed structure of BaTeAu2. Source: Alexandria, functional GGA-PBEsol.

abc: 3.831 3.831 7.542
angles: 90.00 90.00 90.00
Fractional coordinates of all 4 atoms:
Ba (0.000, 0.000, 0.496)
Te (0.500, 0.500, 0.770)
Au (0.000, 0.000, 0.086)
Au (0.500, 0.500, 0.149)

Spin magnetization (μB per formula unit): 0.00
Crystal system: tetragonal
Total DFT energy (no corrections) (eV per atom): -3.7252


A relaxed structure of Ba2TiAu. Source: Alexandria, functional GGA-PBEsol.

abc: 5.641 5.641 5.641
angles: 60.00 60.00 60.00
Last column: magnetic moment on the atom in μB.
Fractional coordinates of all 4 atoms:
Ba (0.750, 0.750, 0.750)  0.19
Au (0.500, 0.500, 0.500)  0.06
Ti (0.000, 0.000, 0.000)  2.11
Ba (0.250, 0.250, 0.250)  0.19

Spin magnetization (μB per formula unit): 3.94
Crystal system: cubic
ΔH_f (0 K) (eV/atom): 0.34


A relaxed structure of BaTl3Au. Source: Alexandria, functional GGA-PBEsol.

abc: 4.857 4.857 7.054
angles: 110.14 110.14 90.00
Fractional coordinates of all 5 atoms:
Tl (0.408, 0.408, 0.817)
Tl (0.256, 0.756, 0.511)
Au (0.631, 0.631, 0.262)
Tl (0.756, 0.256, 0.511)
Ba (0.019, 0.019, 0.037)

Spin magnetization (μB per formula unit): 0.00
Crystal system: tetragonal
ΔH_f (0 K) (eV/atom): -0.35